Below is crystalline ReNiSF2 at its relaxed geometry, with properties calculated at the PBE+U level.

abc: 3.6521 3.6521 5.9178
angles: 90.00 90.00 90.00
Positions (direct):
Re (0.0000, 0.0000, 0.0000)
Ni (0.0000, 0.0000, 0.5000)
S (0.5000, 0.5000, 0.0000)
F (0.0000, 0.5000, 0.5000)
F (0.5000, 0.0000, 0.5000)

VASP energy = -4.88 eV/atom
crystal system = tetragonal